1.
## BeHSe (PBE)

Data for BeHSe after structural relaxation.

## Properties
As for the spin magnetization: 0.00 μB per cell. The calculation puts the density of states at the Fermi level at 0.0 states/eV/f.u. For the total energy, the calculation gives -24.14 eV for the cell shown. As for the offset from the most stable computed form: 0 meV per atom.

Cell: 3.651 3.653 9.633 Å, 82.10 81.68 60.06°
Space group P1 (No. 1)
One atom of each set of equivalent atoms:
Be (0.000, 0.000, 0.000) x1
Be (0.288, 0.295, 0.164) x1
H (0.096, 0.105, 0.560) x1
H (0.180, 0.175, 0.611) x1
Se (0.355, 0.352, 0.921) x1
Se (0.933, 0.944, 0.243) x1


2.
## ZrTi3I (PBE)

Data for ZrTi3I after structural relaxation.

## Properties
As for the spin magnetization: 0.00 μB per cell. The calculation puts the density of states at the Fermi level at 7.2 states/eV/f.u. The uncorrected formation energy comes out at 0.8732 eV per atom. For the total energy, the calculation gives -29.42 eV for the cell shown. As for the offset from the most stable computed form: 0 meV per atom.

Cell: 4.919 4.919 4.919 Å, 90.00 90.00 90.00°
Space group Pm-3m (No. 221)
One atom of each set of equivalent atoms:
Zr (0.000, 0.000, 0.000) x1
Ti (0.000, 0.500, 0.500) x3
I (0.500, 0.500, 0.500) x1


3.
## MgW2Cl (PBE)

Data for MgW2Cl after structural relaxation.

## Properties
As for the spin magnetization: 0.00 μB per cell. The calculation puts the density of states at the Fermi level at 2.8 states/eV/f.u. The uncorrected formation energy comes out at 0.6501 eV per atom. For the total energy, the calculation gives -53.49 eV for the cell shown. As for the offset from the most stable computed form: 505 meV per atom.

Cell: 9.558 2.785 5.520 Å, 90.00 90.61 90.00°
Space group Cm (No. 8)
One atom of each set of equivalent atoms:
Mg (0.000, 0.000, 0.000) x2
W (0.247, 0.500, 0.682) x2
W (0.492, 0.000, 0.504) x2
Cl (0.254, 0.000, 0.049) x2


4.
## MnCoSb (PBE)

Data for MnCoSb after structural relaxation.

## Properties
As for the spin magnetization: 0.00 μB per cell. The calculation puts the density of states at the Fermi level at 2.3 states/eV/f.u. The uncorrected formation energy comes out at 0.0539 eV per atom. For the total energy, the calculation gives -40.47 eV for the cell shown.

Cell: 3.603 3.511 8.294 Å, 90.00 102.38 90.00°
Space group P2_1/m (No. 11)
One atom of each set of equivalent atoms:
Mn (0.042, 0.250, 0.085) x2
Co (0.450, 0.250, 0.898) x2
Sb (0.335, 0.750, 0.666) x2